Ni7GeSb2 | PBE-GGA | relaxed Values from VASP.

Properties
The value obtained for the total energy is -54.88 eV per cell. For the formation energy from raw total energies, the calculation gives -0.1547 eV per atom.

```
&SYSTEM
  ibrav = 0, nat = 10, ntyp = 3
/
ATOMIC_SPECIES
Ni 58.69 Ni.upf
Ge 72.64 Ge.upf
Sb 121.76 Sb.upf
CELL_PARAMETERS angstrom
-0.712 1.860 3.033
-0.986 -3.075 1.654
10.961 -0.871 0.936
ATOMIC_POSITIONS crystal
Ni 0.080 0.580 0.161
Ni 0.420 0.920 0.839
Ni 0.580 0.080 0.161
Ni 0.500 0.500 0.000
Ni 0.750 0.250 0.500
Ni 0.920 0.420 0.839
Ni 0.250 0.750 0.500
Ge 0.000 0.000 0.000
Sb 0.665 0.665 0.330
Sb 0.335 0.335 0.670
```